A relaxed structure of GaBiPd2, computed with PBE.

Total moment   0.0 μB/cell
Calculated formation energy   -59.3 kJ/mol of formula units
Electronic total energy   -4.477 eV per atom
Volume   20.7 Å³ per atom

a b c (Å): 4.3541 4.3541 9.2525
angles (deg): 76.39 76.39 90.00
Element x y z (fractional)
Ga: 0.5000 0.5000 0.0000
Ga: 0.2500 0.7500 0.5000
Bi: 0.0000 0.0000 0.0000
Bi: 0.7500 0.2500 0.5000
Pd: 0.5936 0.1250 0.2500
Pd: 0.1564 0.6250 0.2500
Pd: 0.3750 0.4064 0.7500
Pd: 0.8750 0.8436 0.7500

A relaxed structure of PrThB2O8, computed with PBE.

Total moment   3.0 μB/cell
Electronic total energy   -7.879 eV per atom
Volume   11.2 Å³ per atom

a b c (Å): 4.7731 4.7731 6.7930
angles (deg): 110.57 110.57 90.00
Element x y z (fractional)
Pr: 0.7500 0.2500 0.5000
Th: 0.0000 0.0000 0.0000
B: 0.5000 0.5000 0.0000
B: 0.2500 0.7500 0.5000
O: 0.6621 0.8110 0.1318
O: 0.4696 0.3208 0.1318
O: 0.5620 0.7342 0.6409
O: 0.0789 0.9067 0.6409
O: 0.0933 0.4380 0.3591
O: 0.2658 0.9211 0.3591
O: 0.1890 0.5304 0.8682
O: 0.6792 0.3379 0.8682

A relaxed structure of Ce2AlHg, computed with PBE.

Total moment   0.7 μB/cell
Calculated formation energy   -107.1 kJ/mol of formula units
Electronic total energy   -4.256 eV per atom
Volume   23.9 Å³ per atom

a b c (Å): 4.7389 4.4929 4.4929
angles (deg): 90.00 90.00 90.00
Element x y z (fractional)
Hg: 0.5000 0.0000 0.0000
Ce: 0.0000 0.0000 0.5000
Ce: 0.0000 0.5000 0.0000
Al: 0.5000 0.5000 0.5000

A relaxed structure of TmTlGeCl6, computed with PBE.

Total moment   0.0 μB/cell
Electronic total energy   -4.035 eV per atom
Volume   32.6 Å³ per atom

a b c (Å): 6.9436 6.9435 7.0265
angles (deg): 90.00 90.00 60.00
Element x y z (fractional)
Tm: 0.3333 0.3333 0.5000
Tl: 0.0000 0.0000 0.0000
Ge: 0.6666 0.6667 0.5000
Cl: 0.0079 0.3672 0.2872
Cl: 0.3672 0.0079 0.7127
Cl: 0.6249 0.3672 0.7127
Cl: 0.0078 0.6249 0.7127
Cl: 0.3672 0.6249 0.2872
Cl: 0.6249 0.0079 0.2872

A relaxed structure of Be4PPt, computed with PBE.

Total moment   0.0 μB/cell
Calculated formation energy   -22.2 kJ/mol of formula units
Electronic total energy   -4.431 eV per atom
Volume   10.3 Å³ per atom

a b c (Å): 4.4421 4.4421 4.4421
angles (deg): 60.00 60.00 60.00
Element x y z (fractional)
Be: 0.8766 0.3745 0.3745
Be: 0.3745 0.3745 0.8766
Be: 0.3745 0.8766 0.3745
Be: 0.3745 0.3745 0.3745
P: 0.7500 0.7500 0.7500
Pt: 0.0000 0.0000 0.0000

A relaxed structure of Pr5Sm6Th, computed with PBE.

Total moment   0.0 μB/cell
Calculated formation energy   31.2 kJ/mol of formula units
Electronic total energy   -4.942 eV per atom
Volume   34.7 Å³ per atom

a b c (Å): 6.3606 6.3562 12.0785
angles (deg): 84.97 79.92 59.98
Element x y z (fractional)
Pr: 0.1667 0.6666 0.5000
Pr: 0.3334 0.3332 0.0000
Pr: 0.5000 0.0000 0.5000
Pr: 0.6666 0.6668 0.0000
Pr: 0.8333 0.3334 0.5000
Th: 0.0000 0.0000 0.0000
Sm: 0.5891 0.3286 0.2473
Sm: 0.0822 0.3286 0.7527
Sm: 0.7537 0.0000 0.7527
Sm: 0.2463 0.0000 0.2473
Sm: 0.9178 0.6714 0.2473
Sm: 0.4109 0.6714 0.7527

A relaxed structure of TlGeCl3, computed with PBE.

Total moment   0.0 μB/cell
Electronic total energy   -3.312 eV per atom
Volume   43.7 Å³ per atom

a b c (Å): 4.0342 7.4336 7.4336
angles (deg): 101.16 90.00 90.00
Element x y z (fractional)
Tl: 0.5000 0.0400 0.9600
Ge: 0.0000 0.4455 0.5545
Cl: 0.5000 0.2616 0.3567
Cl: 0.5000 0.6433 0.7385
Cl: 0.0000 0.2377 0.7623

A relaxed structure of SrCrTeSe2, computed with PBE.

Total moment   5.5 μB/cell
Electronic total energy   -3.914 eV per atom
Volume   37.1 Å³ per atom

a b c (Å): 5.5845 5.9406 5.5845
angles (deg): 90.00 90.00 90.00
Element x y z (fractional)
Sr: 0.0000 0.5000 0.0000
Te: 0.0000 0.0000 0.0000
Se: 0.0000 0.0000 0.5000
Se: 0.5000 0.0000 0.0000
Cr: 0.5000 0.5000 0.5000

A relaxed structure of ScGaMo, computed with PBE.

Total moment   0.0 μB/cell
Calculated formation energy   -24.4 kJ/mol of formula units
Electronic total energy   -6.814 eV per atom
Volume   18.9 Å³ per atom

a b c (Å): 3.0264 5.3550 10.4770
angles (deg): 129.32 81.70 73.59
Element x y z (fractional)
Ga: 0.8798 0.9532 0.2871
Ga: 0.1202 0.0468 0.7129
Mo: 0.5974 0.7880 0.0172
Mo: 0.4026 0.2120 0.9828
Sc: 0.5705 0.5403 0.3186
Sc: 0.4295 0.4597 0.6814

A relaxed structure of CrMo2, computed with PBE.

Total moment   0.0 μB/cell
Calculated formation energy   49.1 kJ/mol of formula units
Electronic total energy   -10.259 eV per atom
Volume   14.6 Å³ per atom

a b c (Å): 5.2168 4.3545 7.7366
angles (deg): 90.00 90.00 90.00
Element x y z (fractional)
Cr: 0.1711 0.2500 0.9281
Cr: 0.3289 0.7500 0.4281
Cr: 0.6711 0.2500 0.5719
Cr: 0.8289 0.7500 0.0719
Mo: 0.0104 0.2500 0.2467
Mo: 0.1736 0.2500 0.5837
Mo: 0.3264 0.7500 0.0837
Mo: 0.4896 0.7500 0.7467
Mo: 0.5104 0.2500 0.2533
Mo: 0.6736 0.2500 0.9163
Mo: 0.8264 0.7500 0.4163
Mo: 0.9896 0.7500 0.7533

A relaxed structure of GaReNi3, computed with PBE.

Total moment   0.0 μB/cell
Calculated formation energy   614.6 kJ/mol of formula units
Electronic total energy   -5.290 eV per atom
Volume   18.6 Å³ per atom

a b c (Å): 4.5329 4.5329 4.5329
angles (deg): 90.00 90.00 90.00
Element x y z (fractional)
Re: 0.0000 0.0000 0.0000
Ga: 0.5000 0.5000 0.5000
Ni: 0.0000 0.5000 0.0000
Ni: 0.0000 0.0000 0.5000
Ni: 0.5000 0.0000 0.0000

A relaxed structure of PrCd4Pd4, computed with PBE.

Total moment   0.0 μB/cell
Calculated formation energy   -280.9 kJ/mol of formula units
Electronic total energy   -3.569 eV per atom
Volume   21.0 Å³ per atom

a b c (Å): 6.3756 6.3756 9.2941
angles (deg): 90.00 90.00 90.00
Element x y z (fractional)
Pr: 0.0000 0.0000 0.0000
Pr: 0.5000 0.5000 0.5000
Cd: 0.2269 0.5000 0.9157
Cd: 0.7731 0.5000 0.9157
Cd: 0.5000 0.7731 0.0843
Cd: 0.5000 0.2269 0.0843
Cd: 0.0000 0.7269 0.4157
Cd: 0.0000 0.2731 0.4157
Cd: 0.2731 0.0000 0.5843
Cd: 0.7269 0.0000 0.5843
Pd: 0.5000 0.7714 0.7800
Pd: 0.5000 0.2286 0.7800
Pd: 0.7714 0.5000 0.2200
Pd: 0.2286 0.5000 0.2200
Pd: 0.2714 0.0000 0.2800
Pd: 0.7286 0.0000 0.2800
Pd: 0.0000 0.2714 0.7200
Pd: 0.0000 0.7286 0.7200